Below is a relaxed MgFe10O16F4 crystal, with properties calculated at the GGA+U level.

Computed properties:
energy above the most stable polymorph in this dataset	0.073	eV per atom
calculated total energy	-6.05	eV per atom
Fermi-level density of states	4.9	states/eV per cell
volume	10.74	A^3/atom
magnetization	1.225	μB per atom

a b c (Å): 4.8111 5.5268 12.7757
angles (deg): 78.59 89.88 89.55
With the nearest neighbours (Å) after each atom.
Space group P1 (No. 1)
One atom of each set of equivalent atoms:
Mg 0.0000 0.0000 0.0000 [1 per cell]  1 F 1.91, 5 O 1.94-2.11
Fe 0.0227 0.2039 0.6971 [1 per cell]  5 O 1.99-2.06, 1 F 2.06
Fe 0.0248 0.9679 0.5003 [1 per cell]  4 O 1.91-2.05, 2 F 2.04-2.11
Fe 0.4594 0.2955 0.2982 [1 per cell]  5 O 1.89-1.97
Fe 0.4809 0.5051 0.4890 [1 per cell]  5 O 1.92-1.98
Fe 0.4917 0.1040 0.1014 [1 per cell]  4 O 1.87-2.06, 1 F 2.05
Fe 0.5181 0.7085 0.6834 [1 per cell]  5 O 1.89-1.95, 1 F 2.10
Fe 0.5227 0.9527 0.8756 [1 per cell]  3 O 1.88-2.01, 1 F 2.09
Fe 0.9537 0.5447 0.1067 [1 per cell]  5 O 1.89-2.02
Fe 0.9727 0.4516 0.8852 [1 per cell]  5 O 1.91-2.14, 1 F 2.07
Fe 0.9954 0.7837 0.2899 [1 per cell]  4 O 1.89-2.06, 1 F 2.01
O 0.1542 0.5180 0.2363 [1 per cell]  3 Fe 1.89-1.97
O 0.1558 0.3149 0.0370 [1 per cell]  3 Fe 1.94-2.13, 1 Mg 2.04
O 0.1643 0.1424 0.8468 [1 per cell]  3 Fe 1.99-2.08, 1 Mg 2.11
O 0.1720 0.7258 0.4266 [1 per cell]  3 Fe 1.91-1.98
O 0.2089 0.9339 0.6375 [1 per cell]  3 Fe 1.94-2.01
O 0.3102 0.0294 0.2380 [1 per cell]  3 Fe 1.92-2.06
O 0.3162 0.2245 0.4386 [1 per cell]  3 Fe 1.89-2.05
O 0.3256 0.4474 0.6301 [1 per cell]  3 Fe 1.92-2.06
O 0.6472 0.3503 0.1636 [1 per cell]  3 Fe 1.87-1.91
O 0.6645 0.1920 0.9565 [1 per cell]  1 Mg 1.94, 3 Fe 1.96-2.14
O 0.6661 0.5449 0.3533 [1 per cell]  3 Fe 1.92-2.12
O 0.6909 0.7529 0.5481 [1 per cell]  3 Fe 1.89-2.03
O 0.6985 0.9667 0.7427 [1 per cell]  3 Fe 1.88-2.05
O 0.8075 0.4766 0.7471 [1 per cell]  3 Fe 1.92-2.03
O 0.8304 0.6988 0.9574 [1 per cell]  2 Fe 1.91-2.02, 1 Mg 2.03
O 0.8303 0.8530 0.1473 [1 per cell]  3 Fe 1.96-2.14, 1 Mg 2.07
F 0.3259 0.6506 0.8335 [1 per cell]  3 Fe 2.07-2.10
F 0.3401 0.8218 0.0363 [1 per cell]  1 Mg 1.91, 1 Fe 2.05
F 0.8107 0.0491 0.3534 [1 per cell]  3 Fe 2.01-2.19
F 0.8286 0.2541 0.5505 [1 per cell]  3 Fe 2.04-2.21